VASP calculation (PBE) on a relaxed La6Rh2C crystal.

Output
total magnetization: 0.000 μB/atom
E_tot: -0.467 Ry/atom
density of states at the Fermi level: 20.4 states/eV per cell

Structure (POSCAR):
```
La6Rh2C
1.0
-0.1133 6.4747 -1.9594
0.4902 -2.1418 -7.1058
-10.1128 -0.3223 -0.6005
La C Rh
12 2 4
direct
0.1680 0.3096 0.5633
0.3320 0.8096 0.9367
0.3715 0.5507 0.2388
0.3160 0.8325 0.5650
0.1840 0.3325 0.9350
0.8715 0.9493 0.7388
0.8160 0.6675 0.0650
0.8320 0.6904 0.4367
0.6680 0.1904 0.0633
0.6840 0.1675 0.4350
0.6285 0.4493 0.7612
0.1285 0.0507 0.2612
0.0000 0.0000 0.5000
0.5000 0.5000 0.0000
0.4510 0.1051 0.7500
0.0490 0.6051 0.7500
0.9510 0.3949 0.2500
0.5490 0.8949 0.2500
```

VASP calculation (PBE) on a relaxed La8Rh2C crystal.

Output
total magnetization: 0.000 μB/atom
E_tot: -0.446 Ry/atom
density of states at the Fermi level: 12.9 states/eV per cell

Structure (POSCAR):
```
La8Rh2C
1.0
-0.3695 -0.9814 -3.7238
-4.8985 -7.2448 2.3954
-7.4611 6.0515 1.1552
La C Rh
8 1 2
direct
0.5979 0.5364 0.1958
0.4021 0.4636 0.8042
0.9843 0.8044 0.9686
0.6382 0.9714 0.2764
0.2228 0.3350 0.4456
0.0157 0.1956 0.0314
0.3618 0.0286 0.7236
0.7772 0.6650 0.5544
0.5000 0.0000 0.0000
0.1617 0.7298 0.3234
0.8383 0.2702 0.6766
```

VASP calculation (PBE) on a relaxed La3RhC crystal.

Output
E above lowest polymorph: 0.0 meV/atom
total magnetization: 0.000 μB/atom
E_tot: -0.465 Ry/atom
density of states at the Fermi level: 5.1 states/eV per cell

Structure (POSCAR):
```
La3RhC
1.0
-4.6182 -2.1277 0.1547
0.9892 -1.8089 4.6506
-1.8901 4.2520 2.0559
C La Rh
1 3 1
direct
0.0000 0.0000 0.0000
0.0000 0.5000 0.0000
0.0000 0.0000 0.5000
0.5000 0.0000 0.0000
0.5000 0.5000 0.5000
```

VASP calculation (PBE) on a relaxed LaRh3C crystal.

Output
total magnetization: 0.113 μB/atom
E_tot: -0.356 Ry/atom
density of states at the Fermi level: 6.0 states/eV per cell

Structure (POSCAR):
```
LaRh3C
1.0
-2.0185 2.8416 3.4165
-3.6992 1.0049 -3.0213
-2.4625 -3.8389 1.7381
C Rh La
1 3 1
direct
0.5000 0.5000 0.5000
0.5000 0.0000 0.0000
0.0000 0.0000 0.5000
0.0000 0.5000 0.0000
0.0000 0.0000 0.0000
```

VASP calculation (PBE) on a relaxed LaRh2C crystal.

Output
total magnetization: 0.000 μB/atom
E_tot: -0.550 Ry/atom
density of states at the Fermi level: 2.7 states/eV per cell

Structure (POSCAR):
```
LaRh2C
1.0
7.0305 0.0000 0.0000
0.0000 7.0305 0.0000
3.5153 3.5153 2.8677
C Rh La
2 4 2
direct
0.2500 0.7500 0.5000
0.5000 0.5000 0.0000
0.3750 0.5292 0.7500
0.4708 0.1250 0.2500
0.8750 0.7208 0.7500
0.2792 0.6250 0.2500
0.0000 0.0000 0.0000
0.7500 0.2500 0.5000
```

VASP calculation (PBE) on a relaxed LaRhC3 crystal.

Output
E above lowest polymorph: 0.0 meV/atom
total magnetization: 0.000 μB/atom
E_tot: -0.497 Ry/atom
density of states at the Fermi level: 5.3 states/eV per cell

Structure (POSCAR):
```
LaRhC3
1.0
-1.4752 0.9224 -3.6758
-3.6804 0.5920 1.6256
0.9038 3.9162 0.6200
C Rh La
3 1 1
direct
0.0000 0.5000 0.0000
0.5000 0.0000 0.0000
0.0000 0.0000 0.5000
0.0000 0.0000 0.0000
0.5000 0.5000 0.5000
```

VASP calculation (PBE) on a relaxed LaRhC crystal.

Output
E above lowest polymorph: 0.0 meV/atom
total magnetization: 0.000 μB/atom
E_tot: -0.544 Ry/atom
density of states at the Fermi level: 8.8 states/eV per cell

Structure (POSCAR):
```
LaRhC
1.0
5.8738 0.0000 0.0000
0.0000 5.8738 0.0000
0.0000 0.0000 5.8738
Rh La C
4 4 4
direct
0.3401 0.6599 0.1599
0.1599 0.3401 0.6599
0.8401 0.8401 0.8401
0.6599 0.1599 0.3401
0.3461 0.8461 0.6539
0.1539 0.1539 0.1539
0.6539 0.3461 0.8461
0.8461 0.6539 0.3461
0.5761 0.9239 0.0761
0.9239 0.0761 0.5761
0.4239 0.4239 0.4239
0.0761 0.5761 0.9239
```

VASP calculation (PBE) on a relaxed LaRhC crystal.

Output
E above lowest polymorph: 366.5 meV/atom
total magnetization: 0.000 μB/atom
E_tot: -0.517 Ry/atom
density of states at the Fermi level: 4.4 states/eV per cell

Structure (POSCAR):
```
LaRhC
1.0
3.7455 0.0000 0.0000
0.0000 5.7381 -0.0019
0.0000 -2.8666 5.2196
C La Rh
2 2 2
direct
0.8613 0.7566 0.2473
0.8613 0.2560 0.2471
0.3613 0.3642 0.9631
0.3613 0.6484 0.5314
0.8613 0.1359 0.5062
0.8613 0.8767 0.9883
```

VASP calculation (PBE) on a relaxed LaRuRh2C crystal.

Output
total magnetization: 0.000 μB/atom
E_tot: -0.579 Ry/atom
density of states at the Fermi level: 4.2 states/eV per cell

Structure (POSCAR):
```
LaRuRh2C
1.0
4.2880 0.0000 0.0000
0.0000 4.2880 0.0000
0.0000 0.0000 4.1898
La Ru Rh C
1 1 2 1
direct
0.5000 0.5000 0.5000
0.0000 0.0000 0.5000
0.0000 0.5000 0.0000
0.5000 0.0000 0.0000
0.0000 0.0000 0.0000
```

VASP calculation (PBE) on a relaxed La2SbRhC crystal.

Output
total magnetization: 0.000 μB/atom
raw formation energy: -0.62 eV/atom
E_tot: -0.495 Ry/atom
density of states at the Fermi level: 3.6 states/eV per cell

Structure (POSCAR):
```
La2SbRhC
1.0
-3.8700 -1.9788 -3.3004
-2.8557 -1.6608 4.3442
-1.8719 3.4887 0.1033
La Sb C Rh
2 1 1 1
direct
0.5000 0.0000 0.0000
0.0000 0.5000 0.0000
0.5000 0.5000 0.5000
0.0000 0.0000 0.0000
0.0000 0.0000 0.5000
```

VASP calculation (PBE) on a relaxed LaSc2RhC crystal.

Output
total magnetization: 0.000 μB/atom
E_tot: -0.443 Ry/atom
density of states at the Fermi level: 5.2 states/eV per cell

Structure (POSCAR):
```
LaSc2RhC
1.0
4.8660 0.0000 0.0000
0.0000 5.5617 0.0000
0.0000 0.0000 4.8660
Sc La Rh C
2 1 1 1
direct
0.0000 0.0000 0.5000
0.5000 0.0000 0.0000
0.0000 0.5000 0.0000
0.0000 0.0000 0.0000
0.5000 0.5000 0.5000
```

VASP calculation (PBE) on a relaxed La2RhCSe crystal.

Output
total magnetization: 0.000 μB/atom
raw formation energy: -0.91 eV/atom
E_tot: -0.507 Ry/atom
density of states at the Fermi level: 3.4 states/eV per cell

Structure (POSCAR):
```
La2RhCSe
1.0
5.3322 0.0000 0.0000
0.0000 5.3322 0.0000
0.0000 0.0000 3.8977
La Rh C Se
2 1 1 1
direct
0.5000 0.0000 0.0000
0.0000 0.5000 0.0000
0.0000 0.0000 0.5000
0.0000 0.0000 0.0000
0.5000 0.5000 0.5000
```

VASP calculation (PBE) on a relaxed LaSi2RhC crystal.

Output
total magnetization: 0.000 μB/atom
raw formation energy: 0.43 eV/atom
E_tot: -0.444 Ry/atom
density of states at the Fermi level: 5.8 states/eV per cell

Structure (POSCAR):
```
LaSi2RhC
1.0
-4.5069 -1.6210 1.3203
-0.9257 -0.4567 -3.7209
1.7182 -4.6594 0.1444
Si La C Rh
2 1 1 1
direct
0.5000 0.0000 0.0000
0.0000 0.0000 0.5000
0.5000 0.5000 0.5000
0.0000 0.5000 0.0000
0.0000 0.0000 0.0000
```

VASP calculation (PBE) on a relaxed SrLa2RhC crystal.

Output
total magnetization: 0.124 μB/atom
E_tot: -0.260 Ry/atom
density of states at the Fermi level: 5.0 states/eV per cell

Structure (POSCAR):
```
SrLa2RhC
1.0
-3.0004 -0.3786 -4.9619
-2.6422 -3.4534 1.8612
-3.7719 3.9525 1.9792
La C Sr Rh
2 1 1 1
direct
0.5000 0.0000 0.0000
0.0000 0.0000 0.5000
0.5000 0.5000 0.5000
0.0000 0.0000 0.0000
0.0000 0.5000 0.0000
```

VASP calculation (PBE) on a relaxed LaRuC3 crystal.

Output
E above lowest polymorph: 2348.6 meV/atom
total magnetization: 0.000 μB/atom
E_tot: -0.374 Ry/atom
density of states at the Fermi level: 5.3 states/eV per cell

Structure (POSCAR):
```
LaRuC3
1.0
4.2845 0.0000 0.0000
0.0000 4.2845 0.0000
0.0000 0.0000 4.2845
C Ru La
3 1 1
direct
0.0000 0.5000 0.0000
0.5000 0.0000 0.0000
0.0000 0.0000 0.5000
0.5000 0.5000 0.5000
0.0000 0.0000 0.0000
```

VASP calculation (PBE) on a relaxed La2RuC4 crystal.

Output
total magnetization: 0.000 μB/atom
E_tot: -0.602 Ry/atom
density of states at the Fermi level: 1.9 states/eV per cell

Structure (POSCAR):
```
La2RuC4
1.0
-3.8276 0.0081 3.9299
2.4191 2.3155 6.1803
-2.4342 6.4340 1.4449
Ru C La
2 8 4
direct
0.2500 0.0000 0.0000
0.7500 0.0000 0.0000
0.4264 0.2434 0.9038
0.6207 0.5489 0.2096
0.8793 0.7904 0.4511
0.0736 0.0962 0.7566
0.1207 0.2096 0.5489
0.5736 0.7566 0.0962
0.9264 0.9038 0.2434
0.3793 0.4511 0.7904
0.6499 0.1979 0.5022
0.1499 0.5022 0.1979
0.3501 0.8021 0.4978
0.8501 0.4978 0.8021
```

VASP calculation (PBE) on a relaxed LaRuC3 crystal.

Output
E above lowest polymorph: 0.0 meV/atom
total magnetization: 0.000 μB/atom
E_tot: -0.547 Ry/atom
density of states at the Fermi level: 3.7 states/eV per cell

Structure (POSCAR):
```
LaRuC3
1.0
4.0374 0.0000 0.0000
0.0000 4.0374 0.0000
0.0000 0.0000 4.0374
C La Ru
3 1 1
direct
0.0000 0.0000 0.5000
0.5000 0.0000 0.0000
0.0000 0.5000 0.0000
0.5000 0.5000 0.5000
0.0000 0.0000 0.0000
```

VASP calculation (PBE) on a relaxed LaRu2C2 crystal.

Output
E above lowest polymorph: 0.0 meV/atom
total magnetization: 0.000 μB/atom
E_tot: -0.625 Ry/atom
density of states at the Fermi level: 4.9 states/eV per cell

Structure (POSCAR):
```
LaRu2C2
1.0
-0.9752 -2.7186 4.7604
4.8758 -1.5881 -2.1697
0.3285 5.7257 1.2114
Ru La C
4 2 4
direct
0.5106 0.2606 0.0212
0.7606 0.0106 0.5212
0.2394 0.9894 0.4788
0.4894 0.7394 0.9788
0.1249 0.3751 0.2500
0.8751 0.6249 0.7500
0.1930 0.3070 0.7500
0.8070 0.6930 0.2500
0.5569 0.9431 0.7500
0.4431 0.0569 0.2500
```

VASP calculation (PBE) on a relaxed LaRuC crystal.

Output
E above lowest polymorph: 636.5 meV/atom
total magnetization: 0.000 μB/atom
E_tot: -0.534 Ry/atom
density of states at the Fermi level: 1.8 states/eV per cell

Structure (POSCAR):
```
LaRuC
1.0
3.1862 0.0157 0.0000
-1.3627 2.8802 0.0000
-0.9118 -1.4479 5.6899
Ru La C
1 1 1
direct
0.6148 0.6148 0.2296
0.3515 0.3515 0.7030
0.0337 0.0337 0.0674
```

VASP calculation (PBE) on a relaxed LaRu2C3 crystal.

Output
total magnetization: 0.000 μB/atom
E_tot: -0.621 Ry/atom
density of states at the Fermi level: 6.1 states/eV per cell

Structure (POSCAR):
```
LaRu2C3
1.0
-4.9306 -0.4050 -1.9546
2.0094 -5.4645 -3.9368
-2.1630 -0.2427 5.5067
C Ru La
6 4 2
direct
0.2500 0.3437 0.8811
0.2500 0.5374 0.8811
0.2500 0.0787 0.1574
0.7500 0.9213 0.8426
0.7500 0.4626 0.1189
0.7500 0.6563 0.1189
0.0000 0.1927 0.0000
0.5000 0.1927 0.0000
0.0000 0.8073 0.0000
0.5000 0.8073 0.0000
0.2500 0.7131 0.4263
0.7500 0.2869 0.5737
```

VASP calculation (PBE) on a relaxed La4Ru3C5 crystal.

Output
total magnetization: 0.000 μB/atom
E_tot: -0.587 Ry/atom
density of states at the Fermi level: 7.6 states/eV per cell

Structure (POSCAR):
```
La4Ru3C5
1.0
-1.3651 -2.5761 2.7599
-2.2175 -5.1695 -3.0023
7.0176 -6.3100 0.5011
C Ru La
5 3 4
direct
0.6132 0.9500 0.8236
0.3868 0.0500 0.1764
0.5000 0.5000 0.5000
0.6918 0.7294 0.8870
0.3082 0.2706 0.1130
0.4522 0.7689 0.3267
0.0000 0.5000 0.5000
0.5478 0.2311 0.6733
0.2592 0.8175 0.6641
0.1012 0.6943 0.1034
0.8988 0.3057 0.8966
0.7408 0.1825 0.3359
```

VASP calculation (PBE) on a relaxed LaRuC crystal.

Output
E above lowest polymorph: 89.8 meV/atom
total magnetization: 0.000 μB/atom
E_tot: -0.574 Ry/atom
density of states at the Fermi level: 2.6 states/eV per cell

Structure (POSCAR):
```
LaRuC
1.0
-2.6234 1.0015 4.1543
2.8600 -0.3814 1.8980
-0.8281 3.1027 -1.2709
Ru La C
1 1 1
direct
0.1843 0.3333 0.6667
0.7117 0.6667 0.3333
0.1041 0.0000 0.0000
```

VASP calculation (PBE) on a relaxed La4Ru2C crystal.

Output
total magnetization: 0.000 μB/atom
E_tot: -0.499 Ry/atom
density of states at the Fermi level: 5.2 states/eV per cell

Structure (POSCAR):
```
La4Ru2C
1.0
5.2277 0.0000 0.0000
0.0000 5.2277 0.0000
2.6138 2.6138 7.2168
C La Ru
1 4 2
direct
0.0000 0.0000 0.0000
0.7004 0.7004 0.5993
0.2996 0.2996 0.4007
0.5000 0.0000 0.0000
0.0000 0.5000 0.0000
0.1348 0.1348 0.7303
0.8652 0.8652 0.2697
```

VASP calculation (PBE) on a relaxed LaRuC crystal.

Output
E above lowest polymorph: 100.4 meV/atom
total magnetization: 0.000 μB/atom
E_tot: -0.573 Ry/atom
density of states at the Fermi level: 5.4 states/eV per cell

Structure (POSCAR):
```
LaRuC
1.0
-2.4303 0.8391 -2.1172
3.2073 -1.8897 -4.4305
-0.5767 -5.9497 0.9235
C La Ru
2 2 2
direct
0.5000 0.0000 0.0000
0.0000 0.5000 0.0000
0.6614 0.2848 0.3229
0.3386 0.7152 0.6771
0.0601 0.7918 0.1202
0.9399 0.2082 0.8798
```

VASP calculation (PBE) on a relaxed LaRu2C2 crystal.

Output
E above lowest polymorph: 115.8 meV/atom
total magnetization: 0.000 μB/atom
E_tot: -0.617 Ry/atom
density of states at the Fermi level: 2.3 states/eV per cell

Structure (POSCAR):
```
LaRu2C2
1.0
3.7943 0.0000 0.0000
0.0000 3.7943 0.0000
-1.8971 -1.8971 5.1577
C Ru La
2 2 1
direct
0.6650 0.6650 0.3299
0.3350 0.3350 0.6701
0.2500 0.7500 0.5000
0.7500 0.2500 0.5000
0.0000 0.0000 0.0000
```

VASP calculation (PBE) on a relaxed LaRuC crystal.

Output
E above lowest polymorph: 0.0 meV/atom
total magnetization: 0.000 μB/atom
E_tot: -0.581 Ry/atom
density of states at the Fermi level: 4.9 states/eV per cell

Structure (POSCAR):
```
LaRuC
1.0
3.6962 0.0135 -0.0035
1.8635 5.2110 0.5197
0.0059 1.4747 5.8033
Ru C La
2 2 2
direct
0.8278 0.3401 0.6400
0.1677 0.6567 0.3644
0.2769 0.4395 0.7275
0.7186 0.5572 0.2769
0.4057 0.1888 0.1880
0.5899 0.8079 0.8165
```